# K2ErW3O12, optimized geometry, DFT PBE with a Hubbard U
data_K2ErW3O12
_chemical_formula_sum 'K2 Er1 W3 O12'
_cell_length_a 7.6024
_cell_length_b 7.6024
_cell_length_c 7.6024
_cell_angle_alpha 59.16
_cell_angle_beta 59.16
_cell_angle_gamma 59.16
_symmetry_space_group_name_H-M 'P 1'
_symmetry_Int_Tables_number 1
_symmetry_space_group_name_Hall 'P 1'
loop_
_atom_site_label
_atom_site_type_symbol
_atom_site_fract_x
_atom_site_fract_y
_atom_site_fract_z
K1 K 0.1545 0.1545 0.1545
K2 K 0.8455 0.8455 0.8455
Er1 Er 0.5000 0.5000 0.5000
W1 W 0.0000 0.5000 0.5000
W2 W 0.5000 0.0000 0.5000
W3 W 0.5000 0.5000 0.0000
O1 O 0.1469 0.5772 0.5772
O2 O 0.1991 0.1991 0.5652
O3 O 0.1991 0.5652 0.1991
O4 O 0.4228 0.4228 0.8531
O5 O 0.4228 0.8531 0.4228
O6 O 0.4348 0.8009 0.8009
O7 O 0.5652 0.1991 0.1991
O8 O 0.5772 0.1469 0.5772
O9 O 0.5772 0.5772 0.1469
O10 O 0.8009 0.4348 0.8009
O11 O 0.8009 0.8009 0.4348
O12 O 0.8531 0.4228 0.4228
# - N(E_F) (states/eV per cell) = 11.1
# - energy (eV for the cell shown) = -126.84